1.
! GGA-PBE MnRe2Ni, relaxed; values from VASP
&SYSTEM
  ibrav = 0, nat = 4, ntyp = 3
/
ATOMIC_SPECIES
Re 186.21 Re.upf
Mn 54.94 Mn.upf
Ni 58.69 Ni.upf
CELL_PARAMETERS angstrom
0.0000 2.9614 2.9614
2.9614 0.0000 2.9614
2.9614 2.9614 0.0000
ATOMIC_POSITIONS angstrom
Re 1.4807 1.4807 1.4807
Re 4.4421 4.4421 4.4421
Mn 0.0000 0.0000 0.0000
Ni 2.9614 2.9614 2.9614
! * calculated formation energy: 0.27 eV/atom
! * final energy: -9.693 eV per atom
! * D(E_F): 3.9 states/eV/cell
! * energy relative to the lowest polymorph listed for this composition: 0.252 eV per atom

2.
! GGA-PBE LaZnHg2, relaxed; values from VASP
&SYSTEM
  ibrav = 0, nat = 8, ntyp = 3
/
ATOMIC_SPECIES
La 138.91 La.upf
Zn 65.41 Zn.upf
Hg 200.59 Hg.upf
CELL_PARAMETERS angstrom
-1.1871 -2.5249 -4.0039
-1.8578 -2.6548 2.2249
-7.8312 6.7621 -1.9424
ATOMIC_POSITIONS angstrom
La -8.1763 2.3535 -0.5470
La -2.6999 -0.7710 -3.1744
Zn -6.7349 1.7322 -3.5567
Zn -4.1413 -0.1498 -0.1647
Hg -4.9419 2.2506 -1.4411
Hg -5.9342 -0.6681 -2.2803
Hg -9.0047 3.1404 -3.7717
Hg -1.8715 -1.5580 0.0503
! * calculated formation energy: -0.35 eV/atom
! * final energy: -2.050 eV per atom
! * D(E_F): 6.7 states/eV/cell

Question: Among the records above, which one has the highest final energy?
Answer: LaZnHg2